Record 1
Crystalline Sc2AsBr at its relaxed geometry, computed with PBE-GGA.

Cell and atoms, written as POSCAR:
```
Sc2AsBr
1.0
3.4284 0.0708 0.0000
-0.7920 3.3364 0.0000
0.0000 0.0000 7.4167
Sc Br As
2 1 1
Direct
0.0000 0.0000 0.4652
0.0000 0.0000 0.0348
0.5000 0.5000 0.7500
0.5000 0.5000 0.2500
```

Values from the calculation:
Formation energy without anion corrections in eV/atom: -0.89
Symmetry: No. 65

---

Record 2
Crystalline NaTl2Ni at its relaxed geometry, computed with PBE-GGA.

Cell and atoms, written as POSCAR:
```
NaTl2Ni
1.0
-1.4925 -2.8397 0.9057
2.9763 -1.4744 0.2819
0.3863 2.2506 7.6931
Ni Tl Na
1 2 1
Direct
0.5000 0.5000 0.0000
0.0000 0.0000 0.7983
0.0000 0.0000 0.2017
0.5000 0.5000 0.5000
```

Values from the calculation:
Formation energy in eV per atom: 0.099
Symmetry: No. 123

---

Record 3
Crystalline Co2ReMo at its relaxed geometry, computed with PBE-GGA.

Cell and atoms, written as POSCAR:
```
Co2ReMo
1.0
4.5554 -0.0596 -0.0193
1.5371 4.2887 0.0193
-3.0359 -2.1296 2.6466
Co Mo Re
2 1 1
Direct
0.2501 0.7501 0.5000
0.0000 0.0000 0.0000
0.5000 0.5000 0.0000
0.7500 0.2500 0.5000
```

Values from the calculation:
Offset from the most stable computed form in meV/atom: 152
Formation energy in eV per atom: 0.110
Symmetry: No. 119

---

Record 4
Crystalline SrTcHg2 at its relaxed geometry, computed with PBE-GGA.

Cell and atoms, written as POSCAR:
```
SrTcHg2
1.0
3.4706 0.0000 0.0000
0.0000 5.6673 0.0585
0.0000 3.7648 4.9173
Hg Tc Sr
2 1 1
Direct
0.0000 0.0000 0.0000
0.5000 0.5000 0.0000
0.0000 0.0000 0.5000
0.5000 0.5000 0.5000
```

Values from the calculation:
Offset from the most stable computed form in meV/atom: 213
Formation energy in eV per atom: 0.505
Symmetry: No. 10

---

Record 5
Crystalline Dy3ThHg6 at its relaxed geometry, computed with PBE-GGA.

Cell and atoms, written as POSCAR:
```
Dy3ThHg6
1.0
5.1820 0.0000 0.0000
0.0000 8.8175 -2.8178
0.0000 0.0654 11.2299
Hg Dy Th
12 6 2
Direct
0.2500 0.6390 0.7090
0.2500 0.8317 0.3081
0.2500 0.2536 0.5189
0.2500 0.1448 0.2049
0.7500 0.8552 0.7951
0.7500 0.3610 0.2910
0.7500 0.1683 0.6919
0.2500 0.0626 0.9106
0.7500 0.5330 0.9059
0.2500 0.4670 0.0941
0.7500 0.9374 0.0894
0.7500 0.7464 0.4811
0.2500 0.3500 0.8042
0.2500 0.5121 0.3878
0.2500 0.7678 0.9952
0.7500 0.4879 0.6122
0.7500 0.2322 0.0048
0.7500 0.6500 0.1958
0.2500 0.9314 0.6160
0.7500 0.0686 0.3840
```

Values from the calculation:
Formation energy in eV per atom: -0.367
Symmetry: No. 11

---

Record 6
Crystalline Sn5Ge2Pd12 at its relaxed geometry, computed with PBE-GGA.

Cell and atoms, written as POSCAR:
```
Sn5Ge2Pd12
1.0
-3.9235 -5.2664 5.6624
6.7364 -2.9345 -4.7011
0.1760 5.1073 4.8720
Pd Sn Ge
12 5 2
Direct
0.9114 0.2619 0.8961
0.0886 0.7381 0.1039
0.1332 0.2663 0.1964
0.6119 0.7069 0.4941
0.8668 0.7337 0.8036
0.0951 0.7069 0.4941
0.3881 0.2931 0.5059
0.5013 0.0026 0.2114
0.4987 0.9974 0.7886
0.3505 0.2619 0.8961
0.6495 0.7381 0.1039
0.9049 0.2931 0.5059
0.3236 0.6471 0.2281
0.7077 0.4154 0.2862
0.0000 0.0000 0.5000
0.6764 0.3529 0.7719
0.2923 0.5846 0.7138
0.7622 0.0000 0.0000
0.2378 0.0000 0.0000
```

Values from the calculation:
Formation energy in eV per atom: -0.439
Symmetry: No. 12